An optimized crystal structure of Pm5Tm6Th2, computed with PBE.

The structure in CIF format:
```
data_Pm5Tm6Th2
_cell_length_a 11.4816
_cell_length_b 20.8106
_cell_length_c 3.5633
_cell_angle_alpha 90.00
_cell_angle_beta 90.00
_cell_angle_gamma 90.00
_space_group_name_H-M_alt 'P b a m'
_space_group_IT_number 55
loop_
_space_group_symop_operation_xyz
'x,y,z'
'-x,-y,-z'
'-x,-y,z'
'x,y,-z'
'x+1/2,-y+1/2,-z'
'-x+1/2,y+1/2,z'
'-x+1/2,y+1/2,-z'
'x+1/2,-y+1/2,z'
loop_
_atom_site_label
_atom_site_type_symbol
_atom_site_fract_x
_atom_site_fract_y
_atom_site_fract_z
_atom_site_occupancy
Pm1 Pm 0.0000 0.0000 0.0000 1
Pm2 Pm 0.0650 0.2942 0.0000 1
Pm3 Pm 0.1918 0.5771 0.0000 1
Tm1 Tm 0.0615 0.1476 0.5000 1
Tm2 Tm 0.0801 0.4374 0.5000 1
Tm3 Tm 0.1872 0.8774 0.0000 1
Th1 Th 0.1882 0.7366 0.5000 1
```

Output
Total moment: 0.0 μB/f.u.
Energy relative to the elements: 0.1078 eV per atom
Calculated volume: 851.42 Å³ per cell
Final energy: -4.92 eV/atom


An optimized crystal structure of PmTm6Th, computed with PBE.

The structure in CIF format:
```
data_PmTm6Th
_cell_length_a 6.4972
_cell_length_b 6.6884
_cell_length_c 6.7630
_cell_angle_alpha 61.90
_cell_angle_beta 78.15
_cell_angle_gamma 89.60
_space_group_name_H-M_alt 'P -1'
_space_group_IT_number 2
loop_
_space_group_symop_operation_xyz
'x,y,z'
'-x,-y,-z'
loop_
_atom_site_label
_atom_site_type_symbol
_atom_site_fract_x
_atom_site_fract_y
_atom_site_fract_z
_atom_site_occupancy
Pm1 Pm 0.0000 0.0000 0.0000 1
Tm1 Tm 0.2329 0.5731 0.5190 1
Tm2 Tm 0.2516 0.5429 0.0050 1
Tm3 Tm 0.2708 0.0905 0.4804 1
Th1 Th 0.5000 0.0000 0.0000 1
```

Output
Total moment: 0.0 μB/f.u.
Energy relative to the elements: 0.2348 eV per atom
Energy above the most stable polymorph in this dataset: 159 kJ/mol of formula units
Calculated volume: 252.35 Å³ per cell
Final energy: -4.64 eV/atom


An optimized crystal structure of PmTm4Th2, computed with PBE.

The structure in CIF format:
```
data_PmTm4Th2
_cell_length_a 3.4860
_cell_length_b 8.7137
_cell_length_c 8.7431
_cell_angle_alpha 119.53
_cell_angle_beta 90.14
_cell_angle_gamma 101.41
_space_group_name_H-M_alt 'P -1'
_space_group_IT_number 2
loop_
_space_group_symop_operation_xyz
'x,y,z'
'-x,-y,-z'
loop_
_atom_site_label
_atom_site_type_symbol
_atom_site_fract_x
_atom_site_fract_y
_atom_site_fract_z
_atom_site_occupancy
Pm1 Pm 0.0000 0.0000 0.0000 1
Tm1 Tm 0.2942 0.5871 0.7062 1
Tm2 Tm 0.3505 0.7031 0.1539 1
Th1 Th 0.0691 0.1376 0.4346 1
```

Output
Total moment: 0.0 μB/f.u.
Energy relative to the elements: 0.0897 eV per atom
Energy above the most stable polymorph in this dataset: 0 kJ/mol of formula units
Calculated volume: 224.94 Å³ per cell
Final energy: -5.26 eV/atom